1.
Li2BeOs | Alexandria | PBE | relaxed; ΔE_f = 0.652 eV/f.u.
1.0
8.963 -0.004 -0.002
8.564 2.643 -0.002
8.564 1.290 2.307
Be Li Os
1 2 1
Direct
0.756 0.756 0.756
0.007 0.007 0.007
0.244 0.244 0.244
0.493 0.493 0.493


2.
KCaSN2 | Alexandria | PBE | relaxed; distance to the lowest polymorph of the same formula = 0.586 eV/atom; uncorrected formation energy = 1.2830 eV per atom
1.0
-0.536 2.785 -3.780
-1.778 -3.642 -2.431
-5.387 1.422 1.811
S Ca K N
1 1 1 2
Direct
0.000 0.000 0.500
0.500 0.500 0.500
0.000 0.000 0.000
0.000 0.500 0.000
0.500 0.000 0.000


3.
Ba2ZrFe | Alexandria | PBE | relaxed; distance to the lowest polymorph of the same formula = 0.131 eV/atom; ΔE_f = 2.058 eV/f.u.
1.0
6.875 0.018 -0.030
3.114 6.130 0.030
-4.116 -4.502 3.172
Ba Fe Zr
2 1 1
Direct
0.011 0.011 0.000
0.700 0.200 0.500
0.461 0.461 0.000
0.328 0.828 0.500


4.
KRb2F8 | Alexandria | PBE | relaxed; uncorrected formation energy = -1.4796 eV per atom
1.0
-1.457 2.331 4.642
-6.326 0.071 -2.022
-3.578 -7.741 -0.370
K Rb F
1 2 8
Direct
0.500 0.000 0.000
0.186 0.818 0.373
0.814 0.182 0.627
0.660 0.062 0.320
0.336 0.377 0.672
0.247 0.247 0.495
0.998 0.152 0.997
0.753 0.753 0.505
0.664 0.623 0.328
0.340 0.938 0.680
0.002 0.848 0.003


5.
BaLi3Sb | Alexandria | PBE | relaxed; distance to the lowest polymorph of the same formula = 0.000 eV/atom; uncorrected formation energy = -0.3068 eV per atom
1.0
5.274 0.000 0.000
0.000 5.274 0.000
0.000 0.000 5.274
Sb Ba Li
1 1 3
Direct
0.000 0.000 0.000
0.500 0.500 0.500
0.000 0.500 0.000
0.000 0.000 0.500
0.500 0.000 0.000


6.
Mn2ZnCo | Alexandria | PBE | relaxed; ΔE_f = 0.096 eV/f.u.
1.0
-3.956 -0.018 1.108
-1.035 -0.709 3.912
-1.499 3.046 2.313
Co Mn Zn
1 2 1
Direct
0.500 0.500 0.500
0.000 0.000 0.000
0.250 0.250 0.250
0.750 0.750 0.750


7.
Pr2SbAsPd6 | Alexandria | PBE | relaxed; uncorrected formation energy = -0.7121 eV per atom
1.0
5.562 0.000 0.000
0.000 8.650 0.000
0.000 0.000 8.898
Pr Sb As Pd
4 2 2 12
Direct
0.500 0.740 0.247
0.000 0.260 0.747
0.500 0.740 0.753
0.000 0.260 0.253
0.000 0.729 0.500
0.500 0.271 0.000
0.500 0.245 0.500
0.000 0.755 0.000
0.500 0.106 0.252
0.500 0.106 0.748
0.000 0.894 0.248
0.000 0.894 0.752
0.249 0.999 0.500
0.751 0.999 0.500
0.253 0.478 0.500
0.747 0.478 0.500
0.753 0.522 0.000
0.247 0.522 0.000
0.251 0.001 0.000
0.749 0.001 0.000


8.
ZnIn3 | Alexandria | PBE | relaxed; ΔE_f = 0.472 eV/f.u.
1.0
5.190 0.000 0.000
2.595 4.495 0.000
2.595 1.498 4.238
Zn In
1 3
Direct
0.750 0.750 0.750
0.250 0.250 0.250
0.500 0.500 0.500
0.000 0.000 0.000


Repeat the eighth record exactly.
ZnIn3 | Alexandria | PBE | relaxed; ΔE_f = 0.472 eV/f.u.
1.0
5.190 0.000 0.000
2.595 4.495 0.000
2.595 1.498 4.238
Zn In
1 3
Direct
0.750 0.750 0.750
0.250 0.250 0.250
0.500 0.500 0.500
0.000 0.000 0.000